No. 1
Compound: TaRh2Br
Source: Alexandria
Functional: PBE-GGA
Structure: optimized geometry

Unit cell a=4.517 b=4.517 c=4.517 alpha=120.21 beta=120.21 gamma=89.64
Fractional positions:
1 Ta 0.000 0.000 0.000
2 Rh 0.500 0.500 0.000
3 Rh 0.750 0.250 0.500
4 Br 0.250 0.750 0.500

Output
For the energy relative to the elements, uncorrected, the calculation gives 0.38 eV per atom. As for the space-group type: No. 119. The total energy comes out at -6.68 eV per atom. The value obtained for the size of the total moment is 0.00 μB per atom.

---

No. 2
Compound: K2TeSO10
Source: Alexandria
Functional: PBE-GGA
Structure: optimized geometry

Unit cell a=6.140 b=6.917 c=12.901 alpha=82.89 beta=80.59 gamma=65.12
Fractional positions:
1 K 0.053 0.113 0.155
2 K 0.304 0.407 0.361
3 K 0.696 0.593 0.639
4 K 0.947 0.887 0.845
5 Te 0.000 0.000 0.500
6 Te 0.500 0.500 0.000
7 S 0.317 0.242 0.749
8 S 0.683 0.758 0.251
9 O 0.059 0.227 0.548
10 O 0.108 0.450 0.762
11 O 0.155 0.066 0.365
12 O 0.204 0.746 0.030
13 O 0.244 0.080 0.716
14 O 0.267 0.371 0.034
15 O 0.272 0.764 0.552
16 O 0.429 0.149 0.847
17 O 0.484 0.589 0.853
18 O 0.498 0.283 0.667
19 O 0.502 0.717 0.333
20 O 0.516 0.411 0.147
21 O 0.571 0.851 0.153
22 O 0.728 0.236 0.448
23 O 0.733 0.629 0.966
24 O 0.756 0.920 0.284
25 O 0.796 0.254 0.970
26 O 0.845 0.934 0.635
27 O 0.892 0.550 0.238
28 O 0.941 0.773 0.452

Output
For the energy relative to the elements, uncorrected, the calculation gives -0.68 eV per atom. As for the space-group type: No. 2. The total energy comes out at -4.89 eV per atom. The value obtained for the size of the total moment is 0.43 μB per atom.

---

No. 3
Compound: SrNiRh2
Source: Alexandria
Functional: PBE-GGA
Structure: optimized geometry

Unit cell a=4.962 b=4.962 c=4.962 alpha=130.22 beta=130.22 gamma=73.05
Fractional positions:
1 Sr 0.000 0.000 0.000
2 Ni 0.500 0.500 0.000
3 Rh 0.250 0.750 0.500
4 Rh 0.750 0.250 0.500

Output
As for the space-group type: No. 139. The total energy comes out at -5.20 eV per atom. The formation enthalpy at 0 K is 1.4 eV per formula unit. The value obtained for the size of the total moment is 0.37 μB per atom.

---

No. 4
Compound: K2ScTlF6
Source: Alexandria
Functional: PBE-GGA
Structure: optimized geometry

Unit cell a=6.391 b=6.393 c=6.408 alpha=61.95 beta=61.94 gamma=61.95
Fractional positions:
1 K 0.232 0.232 0.231
2 K 0.768 0.768 0.769
3 Sc 0.000 0.000 0.000
4 Tl 0.500 0.500 0.500
5 F 0.103 0.813 0.316
6 F 0.187 0.685 0.895
7 F 0.315 0.105 0.817
8 F 0.685 0.895 0.183
9 F 0.813 0.315 0.105
10 F 0.897 0.187 0.684

Output
For the energy relative to the elements, uncorrected, the calculation gives -3.10 eV per atom. As for the space-group type: No. 2. The total energy comes out at -5.31 eV per atom. The value obtained for the size of the total moment is 0.00 μB per atom.

---

No. 5
Compound: Ho4Er6Tm
Source: Alexandria
Functional: PBE-GGA
Structure: optimized geometry

Unit cell a=5.532 b=5.532 c=25.350 alpha=90.00 beta=90.00 gamma=119.52
Fractional positions:
1 Ho 0.011 0.989 0.621
2 Ho 0.011 0.989 0.879
3 Ho 0.337 0.663 0.542
4 Ho 0.337 0.663 0.958
5 Ho 0.663 0.337 0.042
6 Ho 0.663 0.337 0.458
7 Ho 0.989 0.011 0.121
8 Ho 0.989 0.011 0.379
9 Er 0.000 0.000 0.000
10 Er 0.000 0.000 0.500
11 Er 0.008 0.992 0.750
12 Er 0.324 0.676 0.105
13 Er 0.324 0.676 0.395
14 Er 0.342 0.658 0.682
15 Er 0.342 0.658 0.818
16 Er 0.658 0.342 0.182
17 Er 0.658 0.342 0.318
18 Er 0.676 0.324 0.605
19 Er 0.676 0.324 0.895
20 Er 0.992 0.008 0.250
21 Tm 0.325 0.675 0.250
22 Tm 0.675 0.325 0.750

Output
As for the space-group type: No. 63. The total energy comes out at -4.43 eV per atom. The formation enthalpy at 0 K is 1.5 eV per formula unit. The value obtained for the size of the total moment is 0.00 μB per atom.

---

No. 6
Compound: CsRb3In2Cl6
Source: Alexandria
Functional: PBE-GGA
Structure: optimized geometry

Unit cell a=10.612 b=10.612 c=9.458 alpha=103.14 beta=103.14 gamma=25.77
Fractional positions:
1 Cs 0.000 0.000 0.000
2 Rb 0.000 0.000 0.500
3 Rb 0.333 0.333 0.169
4 Rb 0.667 0.667 0.831
5 In 0.328 0.328 0.665
6 In 0.672 0.672 0.335
7 Cl 0.172 0.172 0.091
8 Cl 0.174 0.174 0.580
9 Cl 0.498 0.498 0.262
10 Cl 0.502 0.502 0.738
11 Cl 0.826 0.826 0.420
12 Cl 0.828 0.828 0.909

Output
For the energy relative to the elements, uncorrected, the calculation gives -1.56 eV per atom. As for the space-group type: No. 12. The total energy comes out at -3.25 eV per atom. The value obtained for the size of the total moment is 0.00 μB per atom.

---

No. 7
Compound: Fe3Co5S12
Source: Alexandria
Functional: PBE-GGA
Structure: optimized geometry

Unit cell a=11.747 b=11.747 c=11.747 alpha=109.47 beta=109.47 gamma=109.47
Fractional positions:
1 Fe 0.125 0.250 0.375
2 Fe 0.125 0.375 0.750
3 Fe 0.250 0.375 0.125
4 Fe 0.250 0.875 0.625
5 Fe 0.375 0.125 0.250
6 Fe 0.375 0.750 0.125
7 Fe 0.625 0.250 0.875
8 Fe 0.625 0.875 0.750
9 Fe 0.750 0.125 0.375
10 Fe 0.750 0.625 0.875
11 Fe 0.875 0.625 0.250
12 Fe 0.875 0.750 0.625
13 Co 0.000 0.000 0.000
14 Co 0.000 0.000 0.500
15 Co 0.000 0.500 0.000
16 Co 0.000 0.500 0.500
17 Co 0.125 0.750 0.875
18 Co 0.125 0.875 0.250
19 Co 0.250 0.125 0.875
20 Co 0.250 0.625 0.375
21 Co 0.375 0.250 0.625
22 Co 0.375 0.625 0.750
23 Co 0.500 0.000 0.000
24 Co 0.500 0.000 0.500
25 Co 0.500 0.500 0.000
26 Co 0.500 0.500 0.500
27 Co 0.625 0.375 0.250
28 Co 0.625 0.750 0.375
29 Co 0.750 0.375 0.625
30 Co 0.750 0.875 0.125
31 Co 0.875 0.125 0.750
32 Co 0.875 0.250 0.125
33 S 0.038 0.215 0.120
34 S 0.038 0.323 0.918
35 S 0.082 0.620 0.405
36 S 0.082 0.962 0.677
37 S 0.095 0.715 0.677
38 S 0.095 0.880 0.418
39 S 0.120 0.038 0.215
40 S 0.120 0.582 0.905
41 S 0.177 0.215 0.595
42 S 0.177 0.462 0.582
43 S 0.215 0.120 0.038
44 S 0.215 0.595 0.177
45 S 0.285 0.323 0.905
46 S 0.285 0.462 0.380
47 S 0.323 0.905 0.285
48 S 0.323 0.918 0.038
49 S 0.380 0.285 0.462
50 S 0.380 0.595 0.918
51 S 0.405 0.082 0.620
52 S 0.405 0.823 0.785
53 S 0.418 0.095 0.880
54 S 0.418 0.823 0.538
55 S 0.462 0.380 0.285
56 S 0.462 0.582 0.177
57 S 0.538 0.418 0.823
58 S 0.538 0.620 0.715
59 S 0.582 0.177 0.462
60 S 0.582 0.905 0.120
61 S 0.595 0.177 0.215
62 S 0.595 0.918 0.380
63 S 0.620 0.405 0.082
64 S 0.620 0.715 0.538
65 S 0.677 0.082 0.962
66 S 0.677 0.095 0.715
67 S 0.715 0.538 0.620
68 S 0.715 0.677 0.095
69 S 0.785 0.405 0.823
70 S 0.785 0.880 0.962
71 S 0.823 0.538 0.418
72 S 0.823 0.785 0.405
73 S 0.880 0.418 0.095
74 S 0.880 0.962 0.785
75 S 0.905 0.120 0.582
76 S 0.905 0.285 0.323
77 S 0.918 0.038 0.323
78 S 0.918 0.380 0.595
79 S 0.962 0.677 0.082
80 S 0.962 0.785 0.880

Output
For the energy relative to the elements, uncorrected, the calculation gives -0.12 eV per atom. As for the space-group type: No. 230. The total energy comes out at -5.64 eV per atom. The value obtained for the size of the total moment is 0.32 μB per atom.

---

No. 8
Compound: TiZnCo2Au
Source: Alexandria
Functional: PBE-GGA
Structure: optimized geometry

Unit cell a=4.331 b=4.331 c=4.617 alpha=90.00 beta=90.00 gamma=90.00
Fractional positions:
1 Ti 0.000 0.000 0.000
2 Zn 0.000 0.000 0.500
3 Co 0.000 0.500 0.500
4 Co 0.500 0.000 0.500
5 Au 0.500 0.500 0.000

Output
As for the space-group type: No. 123. The total energy comes out at -4.41 eV per atom. The formation enthalpy at 0 K is 4.6 eV per formula unit. The value obtained for the size of the total moment is 0.56 μB per atom.

---

No. 9
Compound: Cs6AgAu2
Source: Alexandria
Functional: PBE-GGA
Structure: optimized geometry

Unit cell a=9.561 b=9.561 c=11.940 alpha=121.43 beta=121.43 gamma=43.24
Fractional positions:
1 Cs 0.034 0.034 0.211
2 Cs 0.262 0.262 0.866
3 Cs 0.362 0.362 0.457
4 Cs 0.638 0.638 0.543
5 Cs 0.738 0.738 0.134
6 Cs 0.966 0.966 0.789
7 Ag 0.000 0.000 0.500
8 Au 0.187 0.187 0.097
9 Au 0.813 0.813 0.903

Output
As for the space-group type: No. 12. The total energy comes out at -1.73 eV per atom. The formation enthalpy at 0 K is -1.0 eV per formula unit. The value obtained for the size of the total moment is 0.04 μB per atom.

---

No. 10
Compound: Be2TlCd
Source: Alexandria
Functional: PBE-GGA
Structure: optimized geometry

Unit cell a=4.594 b=4.594 c=6.763 alpha=117.20 beta=117.20 gamma=37.40
Fractional positions:
1 Be 0.223 0.223 0.358
2 Be 0.777 0.777 0.642
3 Tl 0.500 0.500 0.000
4 Cd 0.000 0.000 0.500

Output
As for the space-group type: No. 12. The total energy comes out at -2.17 eV per atom. The formation enthalpy at 0 K is 2.1 eV per formula unit. The value obtained for the size of the total moment is 0.00 μB per atom.

---

No. 11
Compound: Ac2SmSi2
Source: Alexandria
Functional: PBE-GGA
Structure: optimized geometry

Unit cell a=6.465 b=6.465 c=6.465 alpha=139.33 beta=119.21 gamma=75.73
Fractional positions:
1 Ac 0.204 0.204 0.000
2 Ac 0.796 0.796 0.000
3 Sm 0.500 0.000 0.500
4 Si 0.191 0.500 0.691
5 Si 0.809 0.500 0.309

Output
For the energy relative to the elements, uncorrected, the calculation gives -0.53 eV per atom. As for the space-group type: No. 71. The total energy comes out at -5.29 eV per atom. The value obtained for the size of the total moment is 0.00 μB per atom.

---

No. 12
Compound: RbTlAgF3
Source: Alexandria
Functional: PBE-GGA
Structure: optimized geometry

Unit cell a=8.056 b=3.635 c=8.239 alpha=90.00 beta=106.77 gamma=90.00
Fractional positions:
1 Rb 0.048 0.250 0.266
2 Rb 0.952 0.750 0.734
3 Tl 0.413 0.750 0.681
4 Tl 0.587 0.250 0.319
5 Ag 0.376 0.750 0.028
6 Ag 0.624 0.250 0.972
7 F 0.187 0.250 0.994
8 F 0.193 0.250 0.614
9 F 0.357 0.750 0.389
10 F 0.643 0.250 0.611
11 F 0.807 0.750 0.386
12 F 0.813 0.750 0.006

Output
For the energy relative to the elements, uncorrected, the calculation gives -1.81 eV per atom. As for the space-group type: No. 11. The total energy comes out at -3.78 eV per atom. The value obtained for the size of the total moment is 0.00 μB per atom.

---

No. 13
Compound: TbY6In2
Source: Alexandria
Functional: PBE-GGA
Structure: optimized geometry

Unit cell a=6.651 b=6.651 c=11.999 alpha=107.12 beta=107.12 gamma=32.73
Fractional positions:
1 Tb 0.000 0.000 0.000
2 Y 0.017 0.017 0.342
3 Y 0.309 0.309 0.414
4 Y 0.316 0.316 0.124
5 Y 0.684 0.684 0.876
6 Y 0.691 0.691 0.586
7 Y 0.983 0.983 0.658
8 In 0.357 0.357 0.795
9 In 0.643 0.643 0.205

Output
As for the space-group type: No. 12. The total energy comes out at -5.65 eV per atom. The formation enthalpy at 0 K is -2.0 eV per formula unit. The value obtained for the size of the total moment is 0.00 μB per atom.

---

No. 14
Compound: TiAg3W
Source: Alexandria
Functional: PBE-GGA
Structure: optimized geometry

Unit cell a=4.979 b=4.979 c=4.979 alpha=90.00 beta=90.00 gamma=90.00
Fractional positions:
1 Ti 0.000 0.000 0.000
2 Ag 0.000 0.500 0.500
3 Ag 0.500 0.000 0.500
4 Ag 0.500 0.500 0.000
5 W 0.500 0.500 0.500

Output
As for the space-group type: No. 221. The total energy comes out at -4.04 eV per atom. The formation enthalpy at 0 K is 9.2 eV per formula unit. The value obtained for the size of the total moment is 0.00 μB per atom.

---

No. 15
Compound: GeBi2Os
Source: Alexandria
Functional: PBE-GGA
Structure: optimized geometry

Unit cell a=7.728 b=7.728 c=7.728 alpha=131.05 beta=131.05 gamma=71.73
Fractional positions:
1 Ge 0.000 0.000 0.000
2 Ge 0.750 0.250 0.500
3 Bi 0.154 0.625 0.029
4 Bi 0.375 0.404 0.529
5 Bi 0.596 0.125 0.971
6 Bi 0.875 0.846 0.471
7 Os 0.250 0.750 0.500
8 Os 0.500 0.500 0.000

Output
As for the space-group type: No. 122. The total energy comes out at -5.07 eV per atom. The formation enthalpy at 0 K is 3.3 eV per formula unit. The value obtained for the size of the total moment is 0.00 μB per atom.

---

No. 16
Compound: PrErTmTl
Source: Alexandria
Functional: PBE-GGA
Structure: optimized geometry

Unit cell a=5.509 b=5.509 c=5.509 alpha=60.00 beta=60.00 gamma=60.00
Fractional positions:
1 Pr 0.000 0.000 0.000
2 Er 0.500 0.500 0.500
3 Tm 0.750 0.750 0.750
4 Tl 0.250 0.250 0.250

Output
As for the space-group type: No. 216. The total energy comes out at -4.09 eV per atom. The formation enthalpy at 0 K is -0.2 eV per formula unit. The value obtained for the size of the total moment is 0.25 μB per atom.

---

No. 17
Compound: CoSi2Se
Source: Alexandria
Functional: PBE-GGA
Structure: optimized geometry

Unit cell a=3.930 b=3.930 c=5.824 alpha=110.76 beta=110.76 gamma=49.64
Fractional positions:
1 Co 0.000 0.000 0.000
2 Si 0.541 0.541 0.366
3 Si 0.760 0.760 0.166
4 Se 0.218 0.218 0.760

Output
For the energy relative to the elements, uncorrected, the calculation gives 0.05 eV per atom. As for the space-group type: No. 8. The total energy comes out at -5.31 eV per atom. The value obtained for the size of the total moment is 0.00 μB per atom.

---

No. 18
Compound: TlNiAs
Source: Alexandria
Functional: PBE-GGA
Structure: optimized geometry

Unit cell a=3.456 b=4.081 c=10.188 alpha=89.88 beta=89.62 gamma=64.96
Fractional positions:
1 Tl 0.152 0.213 0.143
2 Tl 0.848 0.787 0.857
3 Ni 0.146 0.211 0.442
4 Ni 0.854 0.789 0.558
5 As 0.445 0.616 0.371
6 As 0.555 0.384 0.629

Output
As for the space-group type: No. 2. The total energy comes out at -4.40 eV per atom. The formation enthalpy at 0 K is -0.4 eV per formula unit. The value obtained for the size of the total moment is 0.00 μB per atom.

---

No. 19
Compound: ZrMn2Tc
Source: Alexandria
Functional: PBE-GGA
Structure: optimized geometry

Unit cell a=5.096 b=5.096 c=5.096 alpha=143.58 beta=128.64 gamma=64.59
Fractional positions:
1 Zr 0.000 0.000 0.000
2 Mn 0.265 0.765 0.500
3 Mn 0.735 0.235 0.500
4 Tc 0.500 0.500 0.000

Output
As for the space-group type: No. 71. The total energy comes out at -9.21 eV per atom. The formation enthalpy at 0 K is 0.4 eV per formula unit. The value obtained for the size of the total moment is 0.93 μB per atom.

---

No. 20
Compound: Tm4CuNiRu2
Source: Alexandria
Functional: PBE-GGA
Structure: optimized geometry

Unit cell a=8.245 b=8.245 c=8.245 alpha=33.50 beta=33.50 gamma=33.50
Fractional positions:
1 Tm 0.124 0.124 0.124
2 Tm 0.374 0.374 0.374
3 Tm 0.626 0.626 0.626
4 Tm 0.876 0.876 0.876
5 Cu 0.500 0.500 0.500
6 Ni 0.000 0.000 0.000
7 Ru 0.250 0.250 0.250
8 Ru 0.750 0.750 0.750

Output
As for the space-group type: No. 166. The total energy comes out at -6.24 eV per atom. The formation enthalpy at 0 K is -3.6 eV per formula unit. The value obtained for the size of the total moment is 0.00 μB per atom.

---

No. 21
Compound: CrHgMo2
Source: Alexandria
Functional: PBE-GGA
Structure: optimized geometry

Unit cell a=8.854 b=8.854 c=8.854 alpha=19.53 beta=19.53 gamma=19.53
Fractional positions:
1 Cr 0.000 0.000 0.000
2 Hg 0.244 0.244 0.244
3 Mo 0.482 0.482 0.482
4 Mo 0.739 0.739 0.739

Output
As for the space-group type: No. 160. The total energy comes out at -7.37 eV per atom. The formation enthalpy at 0 K is 2.1 eV per formula unit. The value obtained for the size of the total moment is 0.46 μB per atom.